The following is a PBE calculation of an optimized crystal structure of RbBe2FeAg, from Alexandria via LeMat-Bulk.

Output
ΔE_f = 1328 meV per atom
Fermi-level density of states = 0.79 states/eV per atom
magnetization = 0.0 μB/f.u.
space group = P4/mmm, No. 123

POSCAR file:
```
RbBe2FeAg
1.0
4.3681 0.0000 0.0000
0.0000 5.2305 0.0000
0.0000 0.0000 4.3681
Be Ag Fe Rb
2 1 1 1
direct
0.0000 0.0000 0.5000
0.5000 0.0000 0.0000
0.5000 0.5000 0.5000
0.0000 0.0000 0.0000
0.0000 0.5000 0.0000
```